DFT (PBE) results for an optimized crystal structure of ZnCu2Re.

abc: 5.991 5.991 5.991
angles: 90.00 90.00 90.00
Positions (direct):
Zn 0.000 0.000 0.000
Zn 0.000 0.500 0.500
Zn 0.500 0.000 0.500
Zn 0.500 0.500 0.000
Cu 0.000 0.000 0.500
Cu 0.000 0.500 0.000
Cu 0.250 0.250 0.250
Cu 0.250 0.750 0.750
Cu 0.500 0.000 0.000
Cu 0.500 0.500 0.500
Cu 0.750 0.250 0.750
Cu 0.750 0.750 0.250
Re 0.250 0.250 0.750
Re 0.250 0.750 0.250
Re 0.750 0.250 0.250
Re 0.750 0.750 0.750

Properties
As for the polymorph energy (0 for the lowest one): 339 meV per atom. The value obtained for the final energy is -5.01 eV per atom. The calculation puts the density at 11.70 g cm⁻³. The total magnetization is 1.90 μB/f.u. The formation energy comes out at 45.2 kJ per mole of atoms.